Entry 1:
## KAg2W (PBE)

Data for a geometry-optimized KAg2W structure.

Values from the calculation:
As for the symmetry: R-3m, No. 166.

Cell and atoms, written as extended XYZ:
```
4
Lattice="10.982 -0.003 -0.002 10.594 2.894 -0.002 10.594 1.420 2.522" Properties=species:S:1:pos:R:3 pbc="T T T"
Ag 15.791 2.116 1.236
W 24.127 3.233 1.889
Ag 0.294 0.039 0.023
K 8.042 1.078 0.630
```


Entry 2:
## KAg2W (PBE)

Data for a geometry-optimized KAg2W structure.

Values from the calculation:
As for the symmetry: Pmmm, No. 47.

Cell and atoms, written as extended XYZ:
```
4
Lattice="4.221 0.000 0.000 0.000 2.753 -0.006 0.000 2.776 7.722" Properties=species:S:1:pos:R:3 pbc="T T T"
K 2.111 1.382 1.929
Ag 0.000 2.767 4.384
Ag 0.000 2.773 7.196
W 2.111 4.147 5.787
```


Entry 3:
## KAg2W (PBE)

Data for a geometry-optimized KAg2W structure.

Values from the calculation:
As for the symmetry: P4mm, No. 99.

Cell and atoms, written as extended XYZ:
```
4
Lattice="-1.451 -1.555 1.879 0.349 -2.296 -1.630 8.650 -2.158 4.892" Properties=species:S:1:pos:R:3 pbc="T T T"
Ag 1.293 -2.385 1.167
K 4.310 -1.075 2.438
Ag 8.644 -2.156 4.889
W 6.276 -3.628 3.986
```


| no. | magnetization (μB per formula unit) | formation energy from the elements (meV/atom) | relative energy among the computed polymorphs (meV/atom) |
| --- | --- | --- | --- |
| 1 | 0.00 | 783 | 68 |
| 2 | 0.00 | 754 | 39 |
| 3 | 0.30 | 798 | 83 |